1.
# Ba2LiNi, relaxed, DFT PBE
data_Ba2LiNi
_symmetry_space_group_name_H-M 'I m m 2'
_symmetry_Int_Tables_number 44
_symmetry_space_group_name_Hall 'I 2 -2'
_cell_length_a 3.798
_cell_length_b 5.436
_cell_length_c 13.079
_cell_angle_alpha 90.00
_cell_angle_beta 90.00
_cell_angle_gamma 90.00
loop_
_atom_site_label
_atom_site_type_symbol
_atom_site_fract_x
_atom_site_fract_y
_atom_site_fract_z
Ba1 Ba 0.000 0.000 0.000
Ba2 Ba 0.000 0.500 0.198
Li1 Li 0.000 0.500 0.848
Ni1 Ni 0.000 0.000 0.498
# Crystal system: orthorhombic
# Theoretical density: 4.185 g/cm³
# Total moment: 0.000 μB per atom
# E_form: 0.71 eV per formula unit
# DOS at the Fermi energy: 0.992 states/eV/atom
# Total DFT energy (no corrections): -21.65 eV per cell

---

2.
# TaBPd2N, relaxed, DFT PBE
data_TaBPd2N
_symmetry_space_group_name_H-M 'P 4/m m m'
_symmetry_Int_Tables_number 123
_symmetry_space_group_name_Hall '-P 4 2'
_cell_length_a 3.941
_cell_length_b 3.941
_cell_length_c 4.558
_cell_angle_alpha 90.00
_cell_angle_beta 90.00
_cell_angle_gamma 90.00
loop_
_atom_site_label
_atom_site_type_symbol
_atom_site_fract_x
_atom_site_fract_y
_atom_site_fract_z
Ta1 Ta 0.000 0.000 0.000
B1 B 0.000 0.000 0.500
Pd1 Pd 0.000 0.500 0.500
N1 N 0.500 0.500 0.000
# Crystal system: tetragonal
# Theoretical density: 9.822 g/cm³
# Total moment: 0.070 μB per atom
# Formation energy from raw total energies: 4.4 eV per formula unit
# DOS at the Fermi energy: 1.056 states/eV/atom
# Total DFT energy (no corrections): -32.83 eV per cell